# 1
Entry from Alexandria via LeMat-Bulk: an optimized crystal structure of Mn5Sn3Te12 (PBE-GGA).

a b c (Å): 14.741 14.741 14.741
angles (deg): 109.47 109.47 109.47
Positions (direct):
Mn 0.000 0.000 0.000
Mn 0.000 0.000 0.500
Mn 0.000 0.500 0.000
Mn 0.000 0.500 0.500
Mn 0.125 0.750 0.875
Mn 0.125 0.875 0.250
Mn 0.250 0.125 0.875
Mn 0.250 0.625 0.375
Mn 0.375 0.250 0.625
Mn 0.375 0.625 0.750
Mn 0.500 0.000 0.000
Mn 0.500 0.000 0.500
Mn 0.500 0.500 0.000
Mn 0.500 0.500 0.500
Mn 0.625 0.375 0.250
Mn 0.625 0.750 0.375
Mn 0.750 0.375 0.625
Mn 0.750 0.875 0.125
Mn 0.875 0.125 0.750
Mn 0.875 0.250 0.125
Sn 0.125 0.250 0.375
Sn 0.125 0.375 0.750
Sn 0.250 0.375 0.125
Sn 0.250 0.875 0.625
Sn 0.375 0.125 0.250
Sn 0.375 0.750 0.125
Sn 0.625 0.250 0.875
Sn 0.625 0.875 0.750
Sn 0.750 0.125 0.375
Sn 0.750 0.625 0.875
Sn 0.875 0.625 0.250
Sn 0.875 0.750 0.625
Te 0.028 0.204 0.120
Te 0.028 0.324 0.907
Te 0.084 0.704 0.676
Te 0.084 0.880 0.407
Te 0.093 0.620 0.416
Te 0.093 0.972 0.676
Te 0.120 0.028 0.204
Te 0.120 0.593 0.916
Te 0.176 0.204 0.584
Te 0.176 0.472 0.593
Te 0.204 0.120 0.028
Te 0.204 0.584 0.176
Te 0.296 0.324 0.916
Te 0.296 0.472 0.380
Te 0.324 0.907 0.028
Te 0.324 0.916 0.296
Te 0.380 0.296 0.472
Te 0.380 0.584 0.907
Te 0.407 0.084 0.880
Te 0.407 0.824 0.528
Te 0.416 0.093 0.620
Te 0.416 0.824 0.796
Te 0.472 0.380 0.296
Te 0.472 0.593 0.176
Te 0.528 0.407 0.824
Te 0.528 0.620 0.704
Te 0.584 0.176 0.204
Te 0.584 0.907 0.380
Te 0.593 0.176 0.472
Te 0.593 0.916 0.120
Te 0.620 0.416 0.093
Te 0.620 0.704 0.528
Te 0.676 0.084 0.704
Te 0.676 0.093 0.972
Te 0.704 0.528 0.620
Te 0.704 0.676 0.084
Te 0.796 0.416 0.824
Te 0.796 0.880 0.972
Te 0.824 0.528 0.407
Te 0.824 0.796 0.416
Te 0.880 0.407 0.084
Te 0.880 0.972 0.796
Te 0.907 0.028 0.324
Te 0.907 0.380 0.584
Te 0.916 0.120 0.593
Te 0.916 0.296 0.324
Te 0.972 0.676 0.093
Te 0.972 0.796 0.880

Computed properties:
Total magnetization = 0.851 μB per atom
Density of states at the Fermi level = 32.33 states/eV/cell
Raw formation energy = -0.063 eV per atom
Symmetry = Ia-3d

***

# 2
Entry from Alexandria via LeMat-Bulk: an optimized crystal structure of MnSnTe2 (PBE-GGA).

a b c (Å): 6.602 6.602 11.546
angles (deg): 90.00 90.00 90.00
Positions (direct):
Mn 0.000 0.000 0.000
Mn 0.000 0.500 0.250
Mn 0.500 0.000 0.750
Mn 0.500 0.500 0.500
Sn 0.000 0.000 0.500
Sn 0.000 0.500 0.750
Sn 0.500 0.000 0.250
Sn 0.500 0.500 0.000
Te 0.173 0.250 0.125
Te 0.250 0.673 0.375
Te 0.250 0.827 0.875
Te 0.327 0.250 0.625
Te 0.673 0.750 0.625
Te 0.750 0.173 0.875
Te 0.750 0.327 0.375
Te 0.827 0.750 0.125

Computed properties:
Total magnetization = 0.000 μB per atom
Density of states at the Fermi level = 28.69 states/eV/cell
Raw formation energy = 0.281 eV per atom
Symmetry = I-42d

***

# 3
Entry from Alexandria via LeMat-Bulk: an optimized crystal structure of MnSn4Te5 (PBE-GGA).

a b c (Å): 7.697 7.697 7.697
angles (deg): 99.85 99.85 131.14
Positions (direct):
Mn 0.000 0.000 0.000
Sn 0.164 0.561 0.797
Sn 0.367 0.164 0.603
Sn 0.561 0.763 0.397
Sn 0.763 0.367 0.203
Te 0.051 0.236 0.374
Te 0.236 0.862 0.185
Te 0.445 0.445 0.000
Te 0.677 0.051 0.815
Te 0.862 0.677 0.626

Computed properties:
Total magnetization = 0.500 μB per atom
Density of states at the Fermi level = 0.43 states/eV/cell
Raw formation energy = -0.226 eV per atom
Symmetry = I4

***

# 4
Entry from Alexandria via LeMat-Bulk: an optimized crystal structure of MnSn3Te4 (PBE-GGA).

a b c (Å): 8.870 12.485 4.422
angles (deg): 90.00 90.00 90.00
Positions (direct):
Mn 0.000 0.000 0.000
Mn 0.500 0.500 0.000
Sn 0.000 0.500 0.000
Sn 0.250 0.250 0.500
Sn 0.250 0.750 0.500
Sn 0.500 0.000 0.000
Sn 0.750 0.250 0.500
Sn 0.750 0.750 0.500
Te 0.000 0.237 0.000
Te 0.000 0.763 0.000
Te 0.229 0.000 0.500
Te 0.271 0.500 0.500
Te 0.500 0.263 0.000
Te 0.500 0.737 0.000
Te 0.729 0.500 0.500
Te 0.771 0.000 0.500

Computed properties:
Total magnetization = 0.626 μB per atom
Density of states at the Fermi level = 0.94 states/eV/cell
Raw formation energy = -0.209 eV per atom
Symmetry = Cmmm

***

# 5
Entry from Alexandria via LeMat-Bulk: an optimized crystal structure of MnTl2SnTe5 (PBE-GGA).

a b c (Å): 10.946 10.946 14.075
angles (deg): 90.00 90.00 158.65
Positions (direct):
Mn 0.227 0.773 0.500
Mn 0.773 0.227 0.000
Tl 0.122 0.878 0.775
Tl 0.128 0.872 0.145
Tl 0.872 0.128 0.645
Tl 0.878 0.122 0.275
Sn 0.435 0.565 0.914
Sn 0.565 0.435 0.414
Te 0.033 0.967 0.544
Te 0.285 0.715 0.123
Te 0.303 0.697 0.877
Te 0.346 0.654 0.465
Te 0.496 0.504 0.740
Te 0.504 0.496 0.240
Te 0.654 0.346 0.965
Te 0.697 0.303 0.377
Te 0.715 0.285 0.623
Te 0.967 0.033 0.044

Computed properties:
Total magnetization = 0.343 μB per atom
Density of states at the Fermi level = 6.35 states/eV/cell
Raw formation energy = -0.162 eV per atom
Symmetry = Cmc2_1

***

# 6
Entry from Alexandria via LeMat-Bulk: an optimized crystal structure of MnTlSn2Te4 (PBE-GGA).

a b c (Å): 7.559 4.390 7.776
angles (deg): 90.00 108.43 90.00
Positions (direct):
Mn 0.000 0.000 0.000
Tl 0.000 0.500 0.500
Sn 0.500 0.000 0.500
Sn 0.500 0.500 0.000
Te 0.233 0.500 0.222
Te 0.244 0.000 0.777
Te 0.756 0.000 0.223
Te 0.767 0.500 0.778

Computed properties:
Total magnetization = 0.532 μB per atom
Density of states at the Fermi level = 3.29 states/eV/cell
Raw formation energy = -0.191 eV per atom
Symmetry = P2/m

***

# 7
Entry from Alexandria via LeMat-Bulk: an optimized crystal structure of YMn2SnTe (PBE-GGA).

a b c (Å): 4.961 4.961 5.544
angles (deg): 90.00 90.00 90.00
Positions (direct):
Y 0.000 0.000 0.000
Mn 0.000 0.500 0.500
Mn 0.500 0.000 0.500
Sn 0.500 0.500 0.000
Te 0.000 0.000 0.500

Computed properties:
Total magnetization = 1.476 μB per atom
Density of states at the Fermi level = 4.83 states/eV/cell
Raw formation energy = 0.412 eV per atom
Symmetry = P4/mmm

***

# 8
Entry from Alexandria via LeMat-Bulk: an optimized crystal structure of Th2MnSn (PBE-GGA).

a b c (Å): 3.824 3.824 29.147
angles (deg): 90.00 90.00 120.00
Positions (direct):
Th 0.000 0.000 0.114
Th 0.000 0.000 0.886
Th 0.333 0.667 0.552
Th 0.333 0.667 0.781
Th 0.667 0.333 0.219
Th 0.667 0.333 0.448
Mn 0.000 0.000 0.500
Mn 0.333 0.667 0.167
Mn 0.667 0.333 0.833
Sn 0.000 0.000 0.000
Sn 0.333 0.667 0.667
Sn 0.667 0.333 0.333

Computed properties:
Total magnetization = 0.000 μB per atom
Density of states at the Fermi level = 14.26 states/eV/cell
Symmetry = R-3m
Formation energy from the elements = 0.310 eV/atom

***

# 9
Entry from Alexandria via LeMat-Bulk: an optimized crystal structure of Th6Mn2Sn (PBE-GGA).

a b c (Å): 8.646 8.646 8.646
angles (deg): 114.13 114.05 100.59
Positions (direct):
Th 0.022 0.831 0.191
Th 0.245 0.543 0.298
Th 0.245 0.948 0.702
Th 0.296 0.310 0.605
Th 0.296 0.690 0.986
Th 0.360 0.169 0.191
Th 0.640 0.831 0.809
Th 0.704 0.310 0.014
Th 0.704 0.690 0.395
Th 0.755 0.052 0.298
Th 0.755 0.457 0.702
Th 0.978 0.169 0.809
Mn 0.000 0.148 0.148
Mn 0.000 0.852 0.852
Mn 0.381 0.381 0.000
Mn 0.619 0.619 0.000
Sn 0.000 0.500 0.500
Sn 0.500 0.000 0.500

Computed properties:
Total magnetization = 0.284 μB per atom
Density of states at the Fermi level = 24.47 states/eV/cell
Symmetry = Immm
Formation energy from the elements = -0.046 eV/atom

***

# 10
Entry from Alexandria via LeMat-Bulk: an optimized crystal structure of Th3MnSn (PBE-GGA).

a b c (Å): 5.205 5.205 5.205
angles (deg): 90.00 90.00 90.00
Positions (direct):
Th 0.000 0.000 0.500
Th 0.000 0.500 0.000
Th 0.500 0.000 0.000
Mn 0.000 0.000 0.000
Sn 0.500 0.500 0.500

Computed properties:
Total magnetization = 0.000 μB per atom
Density of states at the Fermi level = 5.60 states/eV/cell
Symmetry = Pm-3m
Formation energy from the elements = -0.220 eV/atom

***

# 11
Entry from Alexandria via LeMat-Bulk: an optimized crystal structure of Th8MnSn2 (PBE-GGA).

a b c (Å): 9.509 9.509 6.744
angles (deg): 108.25 108.25 34.19
Positions (direct):
Th 0.001 0.001 0.235
Th 0.221 0.221 0.135
Th 0.363 0.363 0.693
Th 0.412 0.412 0.245
Th 0.588 0.588 0.755
Th 0.637 0.637 0.307
Th 0.779 0.779 0.865
Th 0.999 0.999 0.765
Mn 0.500 0.500 0.000
Sn 0.171 0.171 0.617
Sn 0.829 0.829 0.383

Computed properties:
Total magnetization = 0.000 μB per atom
Density of states at the Fermi level = 13.59 states/eV/cell
Symmetry = C2/m
Formation energy from the elements = -0.096 eV/atom

***

# 12
Entry from Alexandria via LeMat-Bulk: an optimized crystal structure of ThMnSn (PBE-GGA).

a b c (Å): 11.654 4.638 5.035
angles (deg): 90.00 101.51 90.00
Positions (direct):
Th 0.135 0.000 0.312
Th 0.365 0.500 0.688
Th 0.635 0.500 0.312
Th 0.865 0.000 0.688
Mn 0.195 0.000 0.861
Mn 0.305 0.500 0.139
Mn 0.695 0.500 0.861
Mn 0.805 0.000 0.139
Sn 0.088 0.500 0.796
Sn 0.412 0.000 0.204
Sn 0.588 0.000 0.796
Sn 0.912 0.500 0.204

Computed properties:
Total magnetization = 0.211 μB per atom
Density of states at the Fermi level = 10.92 states/eV/cell
Symmetry = C2/m
Formation energy from the elements = -0.255 eV/atom

***

# 13
Entry from Alexandria via LeMat-Bulk: an optimized crystal structure of TiMn4Sn (PBE-GGA).

a b c (Å): 4.831 4.831 4.831
angles (deg): 60.00 60.00 60.00
Positions (direct):
Ti 0.000 0.000 0.000
Mn 0.376 0.376 0.376
Mn 0.376 0.376 0.873
Mn 0.376 0.873 0.376
Mn 0.873 0.376 0.376
Sn 0.750 0.750 0.750

Computed properties:
Total magnetization = 0.558 μB per atom
Density of states at the Fermi level = 6.57 states/eV/cell
Symmetry = F-43m
Formation energy from the elements = -0.075 eV/atom

***

# 14
Entry from Alexandria via LeMat-Bulk: an optimized crystal structure of Ti2MnSn2 (PBE-GGA).

a b c (Å): 6.803 6.803 3.983
angles (deg): 90.00 90.00 90.00
Positions (direct):
Ti 0.159 0.341 0.000
Ti 0.341 0.841 0.000
Ti 0.659 0.159 0.000
Ti 0.841 0.659 0.000
Mn 0.000 0.000 0.500
Mn 0.500 0.500 0.500
Sn 0.148 0.648 0.500
Sn 0.352 0.148 0.500
Sn 0.648 0.852 0.500
Sn 0.852 0.352 0.500

Computed properties:
Total magnetization = 0.000 μB per atom
Density of states at the Fermi level = 11.85 states/eV/cell
Symmetry = P4/mbm
Formation energy from the elements = 0.060 eV/atom

***

# 15
Entry from Alexandria via LeMat-Bulk: an optimized crystal structure of TiMnSn4 (PBE-GGA).

a b c (Å): 5.628 5.628 14.119
angles (deg): 90.00 90.00 120.00
Positions (direct):
Ti 0.000 0.500 0.167
Ti 0.500 0.000 0.500
Ti 0.500 0.500 0.833
Mn 0.000 0.000 0.167
Mn 0.000 0.000 0.500
Mn 0.000 0.000 0.833
Sn 0.000 0.500 0.550
Sn 0.000 0.500 0.783
Sn 0.167 0.335 0.000
Sn 0.167 0.833 0.333
Sn 0.335 0.167 0.667
Sn 0.500 0.000 0.116
Sn 0.500 0.000 0.884
Sn 0.500 0.500 0.217
Sn 0.500 0.500 0.450
Sn 0.665 0.833 0.667
Sn 0.833 0.167 0.333
Sn 0.833 0.665 0.000

Computed properties:
Total magnetization = 0.434 μB per atom
E above lowest polymorph = 0 meV per atom
Density of states at the Fermi level = 9.25 states/eV/cell
Symmetry = P6_222
Formation energy from the elements = -0.122 eV/atom

***

# 16
Entry from Alexandria via LeMat-Bulk: an optimized crystal structure of TiMnSn (PBE-GGA).

a b c (Å): 2.964 5.126 7.298
angles (deg): 90.00 100.08 90.00
Positions (direct):
Ti 0.130 0.250 0.077
Ti 0.870 0.750 0.923
Mn 0.447 0.250 0.776
Mn 0.553 0.750 0.224
Sn 0.241 0.750 0.577
Sn 0.759 0.250 0.423

Computed properties:
Total magnetization = 0.707 μB per atom
Density of states at the Fermi level = 5.33 states/eV/cell
Symmetry = P2_1/m
Formation energy from the elements = 0.115 eV/atom

***

# 17
Entry from Alexandria via LeMat-Bulk: an optimized crystal structure of Ti3MnSn (PBE-GGA).

a b c (Å): 5.300 5.300 8.752
angles (deg): 94.27 94.27 45.02
Positions (direct):
Ti 0.102 0.102 0.385
Ti 0.377 0.377 0.876
Ti 0.390 0.390 0.354
Ti 0.610 0.610 0.646
Ti 0.623 0.623 0.124
Ti 0.898 0.898 0.615
Mn 0.256 0.256 0.620
Mn 0.744 0.744 0.380
Sn 0.096 0.096 0.877
Sn 0.904 0.904 0.123

Computed properties:
Total magnetization = 0.000 μB per atom
E above lowest polymorph = 0 meV per atom
Density of states at the Fermi level = 7.07 states/eV/cell
Symmetry = C2/m
Formation energy from the elements = -0.200 eV/atom

***

# 18
Entry from Alexandria via LeMat-Bulk: an optimized crystal structure of Ti2Mn2Sn (PBE-GGA).

a b c (Å): 4.001 4.001 10.209
angles (deg): 90.00 90.00 90.00
Positions (direct):
Ti 0.000 0.500 0.250
Ti 0.000 0.500 0.750
Ti 0.500 0.000 0.250
Ti 0.500 0.000 0.750
Mn 0.000 0.000 0.101
Mn 0.000 0.000 0.899
Mn 0.500 0.500 0.399
Mn 0.500 0.500 0.601
Sn 0.000 0.000 0.500
Sn 0.500 0.500 0.000

Computed properties:
Total magnetization = 0.376 μB per atom
Density of states at the Fermi level = 13.46 states/eV/cell
Symmetry = I4/mmm
Formation energy from the elements = 0.231 eV/atom

***

# 19
Entry from Alexandria via LeMat-Bulk: an optimized crystal structure of Ti4MnSn (PBE-GGA).

a b c (Å): 5.263 7.966 5.164
angles (deg): 90.00 112.67 90.00
Positions (direct):
Ti 0.084 0.170 0.134
Ti 0.084 0.330 0.634
Ti 0.373 0.649 0.936
Ti 0.373 0.851 0.436
Ti 0.627 0.149 0.564
Ti 0.627 0.351 0.064
Ti 0.916 0.670 0.366
Ti 0.916 0.830 0.866
Mn 0.000 0.000 0.500
Mn 0.000 0.500 0.000
Sn 0.500 0.000 0.000
Sn 0.500 0.500 0.500

Computed properties:
Total magnetization = 0.000 μB per atom
Density of states at the Fermi level = 12.19 states/eV/cell
Symmetry = P2_1/c
Formation energy from the elements = -0.098 eV/atom

***

# 20
Entry from Alexandria via LeMat-Bulk: an optimized crystal structure of Ti2MnSn (PBE-GGA).

a b c (Å): 4.233 4.233 3.760
angles (deg): 90.00 90.00 90.00
Positions (direct):
Ti 0.000 0.500 0.000
Ti 0.500 0.000 0.000
Mn 0.000 0.000 0.500
Sn 0.500 0.500 0.500

Computed properties:
Total magnetization = 0.126 μB per atom
Density of states at the Fermi level = 4.14 states/eV/cell
Symmetry = P4/mmm
Formation energy from the elements = -0.172 eV/atom